Compound: AcZnGeF
Source: Alexandria via LeMat-Bulk
Functional: PBE
Structure: optimized geometry

Computed properties:
Volume = 80.41 Å³/f.u.
Uncorrected formation energy = -1743.6 meV/atom
Symmetry = P4/nmm (129)
Electronic total energy = -4.711 eV/atom
Density = 7.9 g cm⁻³

Structure (POSCAR):
```
AcZnGeF
1.0
4.234 0.000 0.000
0.000 4.234 0.000
0.000 0.000 8.973
Ac Zn Ge F
2 2 2 2
Direct
0.250 0.250 0.185
0.750 0.750 0.815
0.250 0.750 0.500
0.750 0.250 0.500
0.250 0.250 0.674
0.750 0.750 0.326
0.250 0.750 0.000
0.750 0.250 0.000
```